# 1
Crystalline Er11Tl9Rh4 at its relaxed geometry. Source: Alexandria, functional PBE.

Summary:
crystal system = orthorhombic
formation energy = -0.56 eV/atom
Fermi-level density of states = 11.21 states/eV/f.u.
total magnetization = 0.0 Bohr magnetons per cell

a b c (Å): 3.6720 13.1423 13.1423
angles (deg): 112.54 90.00 90.00
Closest atoms and distances in Å follow each position.
Positions (direct):
Er 0.0000 0.3118 0.3118  4 Rh 2.92
Er 0.0000 0.3740 0.6260  4 Rh 2.92
Er 0.0000 0.1627 0.8373  8 Tl 3.24-3.40, 1 Er 3.56
Er 0.0000 0.5826 0.9172  2 Rh 2.76
Er 0.0000 0.4174 0.0828  2 Rh 2.76
Er 0.0000 0.0000 0.0000  8 Tl 3.21, 2 Er 3.56
Er 0.0000 0.6882 0.6882  4 Rh 2.92
Er 0.0000 0.0828 0.4174  2 Rh 2.76
Er 0.0000 0.6260 0.3740  4 Rh 2.92
Er 0.0000 0.9172 0.5826  2 Rh 2.76
Er 0.0000 0.8373 0.1627  8 Tl 3.24-3.40, 1 Er 3.56
Tl 0.5000 0.1519 0.6307  1 Rh 3.10, 1 Tl 3.17, 6 Er 3.18-3.43
Tl 0.5000 0.0700 0.2164  1 Rh 3.07, 6 Er 3.17-3.40, 1 Tl 3.20
Tl 0.5000 0.9300 0.7836  1 Rh 3.07, 6 Er 3.17-3.40, 1 Tl 3.20
Tl 0.5000 0.2164 0.0700  1 Rh 3.07, 6 Er 3.17-3.40, 1 Tl 3.20
Tl 0.5000 0.6307 0.1519  1 Rh 3.10, 1 Tl 3.17, 6 Er 3.18-3.43
Tl 0.5000 0.5000 0.5000  4 Rh 3.11, 8 Er 3.30-3.31
Tl 0.5000 0.3693 0.8481  1 Rh 3.10, 1 Tl 3.17, 6 Er 3.18-3.43
Tl 0.5000 0.8481 0.3693  1 Rh 3.10, 1 Tl 3.17, 6 Er 3.18-3.43
Tl 0.5000 0.7836 0.9300  1 Rh 3.07, 6 Er 3.17-3.40, 1 Tl 3.20
Rh 0.5000 0.7513 0.5502  6 Er 2.76-2.92, 1 Tl 3.07
Rh 0.5000 0.4498 0.2487  6 Er 2.76-2.92, 1 Tl 3.07
Rh 0.5000 0.2487 0.4498  6 Er 2.76-2.92, 1 Tl 3.07
Rh 0.5000 0.5502 0.7513  6 Er 2.76-2.92, 1 Tl 3.07

=====

# 2
Crystalline Er5Tl4Rh at its relaxed geometry. Source: Alexandria, functional PBE.

Summary:
crystal system = tetragonal
formation energy = -0.45 eV/atom
energy above the most stable polymorph in this dataset = 0 meV/atom
Fermi-level density of states = 7.23 states/eV/f.u.
total magnetization = 0.4 Bohr magnetons per cell

a b c (Å): 3.4913 3.4913 20.6816
angles (deg): 90.00 90.00 90.00
Closest atoms and distances in Å follow each position.
Positions (direct):
Tl 0.0000 0.0000 0.6040  8 Er 3.27-3.28, 4 Tl 3.49
Tl 0.0000 0.0000 0.1881  8 Er 3.27-3.34, 4 Tl 3.49
Tl 0.0000 0.0000 0.8119  8 Er 3.27-3.34, 4 Tl 3.49
Tl 0.0000 0.0000 0.3960  8 Er 3.27-3.28, 4 Tl 3.49
Er 0.5000 0.5000 0.5000  8 Tl 3.27, 4 Er 3.49
Er 0.5000 0.5000 0.0797  4 Rh 2.97, 1 Er 3.30
Er 0.5000 0.5000 0.7084  8 Tl 3.27-3.28, 4 Er 3.49
Er 0.5000 0.5000 0.9203  4 Rh 2.97, 1 Er 3.30
Er 0.5000 0.5000 0.2916  8 Tl 3.27-3.28, 4 Er 3.49
Rh 0.0000 0.0000 0.0000  8 Er 2.97

=====

# 3
Crystalline Er2Tl3Rh at its relaxed geometry. Source: Alexandria, functional PBE.

Summary:
crystal system = orthorhombic
formation energy = -0.26 eV/atom
Fermi-level density of states = 2.86 states/eV/f.u.
total magnetization = 0.0 Bohr magnetons per cell

a b c (Å): 6.6003 6.4555 8.5639
angles (deg): 112.14 112.67 90.00
Closest atoms and distances in Å follow each position.
Positions (direct):
Er 0.0696 0.3665 0.7330  2 Rh 2.85, 4 Tl 3.07-3.19
Er 0.3366 0.1335 0.2670  2 Rh 2.85, 4 Tl 3.07-3.19
Er 0.6634 0.8665 0.7330  2 Rh 2.85, 4 Tl 3.07-3.19
Er 0.9304 0.6335 0.2670  2 Rh 2.85, 4 Tl 3.07-3.19
Rh 0.0000 0.7500 0.0000  4 Er 2.85, 4 Tl 3.18
Rh 0.0000 0.2500 0.0000  4 Er 2.85, 4 Tl 3.18
Tl 0.8873 0.1478 0.2955  4 Er 3.07-3.26, 2 Tl 3.11, 2 Rh 3.18
Tl 0.5918 0.3522 0.7045  4 Er 3.07-3.26, 2 Tl 3.11, 2 Rh 3.18
Tl 0.1127 0.8522 0.7045  4 Er 3.07-3.26, 2 Tl 3.11, 2 Rh 3.18
Tl 0.5000 0.2500 0.0000  6 Tl 3.11-3.23, 4 Er 3.19, 2 Rh 3.30
Tl 0.4082 0.6478 0.2955  4 Er 3.07-3.26, 2 Tl 3.11, 2 Rh 3.18
Tl 0.5000 0.7500 0.0000  6 Tl 3.11-3.23, 4 Er 3.19, 2 Rh 3.30